Density functional theory data (PBE-GGA) for Zr2Be2NbRu5 after structural relaxation.

The structure in CIF format:
```
data_Zr2Be2NbRu5
_symmetry_space_group_name_H-M 'P 4/m b m'
_symmetry_Int_Tables_number 127
_symmetry_space_group_name_Hall '-P 4 2ab'
_cell_length_a 9.526
_cell_length_b 9.526
_cell_length_c 3.216
_cell_angle_alpha 90.00
_cell_angle_beta 90.00
_cell_angle_gamma 90.00
loop_
_atom_site_label
_atom_site_fract_x
_atom_site_fract_y
_atom_site_fract_z
Zr1 0.173 0.327 0.000
Be1 0.122 0.622 0.000
Nb1 0.000 0.000 0.000
Ru1 0.000 0.500 0.500
Ru2 0.072 0.790 0.500
```

Properties
As for the calculated total energy: -0.3160 hartree per atom. The calculation puts the formation energy at -11.53 kcal/mol of atoms.